The following is a DFT calculation (PBEsol) of a geometry-optimized TiSbN2 structure.

Magnetization   0.6 μB per cell
E_form (uncorrected)   147 meV per atom

Cell: 3.2018 3.2018 18.8202 Å, 90.00 90.00 120.00°
Positions (direct):
Ti: 0.0000 0.0000 0.0000
Ti: 0.3333 0.6667 0.6667
Ti: 0.6667 0.3333 0.3333
Sb: 0.0000 0.0000 0.5000
Sb: 0.3333 0.6667 0.1667
Sb: 0.6667 0.3333 0.8333
N: 0.0000 0.0000 0.1057
N: 0.0000 0.0000 0.8943
N: 0.3333 0.6667 0.5610
N: 0.3333 0.6667 0.7724
N: 0.6667 0.3333 0.2276
N: 0.6667 0.3333 0.4390